Entry 1:
HfHCl3 | PBE-GGA | relaxed

Summary:
E above lowest polymorph ... 1474 meV/atom

POSCAR file:
```
HfHCl3
1.0
4.2788 0.0000 0.0000
0.0000 4.2788 0.0000
0.0000 0.0000 4.2788
H Cl Hf
1 3 1
direct
0.0000 0.0000 0.0000
0.0000 0.0000 0.5000
0.0000 0.5000 0.0000
0.5000 0.0000 0.0000
0.5000 0.5000 0.5000
```



Entry 2:
AgRuNF2 | PBE-GGA | relaxed

Summary:
E above lowest polymorph ... 0 meV/atom
Formation energy without anion corrections ... -378 meV/atom

POSCAR file:
```
AgRuNF2
1.0
-1.7443 1.1135 3.7365
-0.3341 -4.1210 1.0721
3.3911 0.1270 1.5452
Ag F N Ru
1 2 1 1
direct
0.5000 0.5000 0.5000
0.0000 0.5000 0.0000
0.5000 0.0000 0.0000
0.0000 0.0000 0.5000
0.0000 0.0000 0.0000
```



Entry 3:
Pm4SnAu5 | PBE-GGA | relaxed

Summary:
Energy ... -4.641 eV per atom

POSCAR file:
```
Pm4SnAu5
1.0
3.7237 0.0000 0.0000
0.0000 3.7237 0.0000
0.0000 0.0000 17.7459
Au Pm Sn
5 4 1
direct
0.5000 0.5000 0.2959
0.5000 0.5000 0.9011
0.5000 0.5000 0.0989
0.5000 0.5000 0.7041
0.5000 0.5000 0.5000
0.0000 0.0000 0.3951
0.0000 0.0000 0.8121
0.0000 0.0000 0.1879
0.0000 0.0000 0.6049
0.0000 0.0000 0.0000
```



Entry 4:
LaGaSn | PBE-GGA | relaxed

Summary:
Energy ... -4.697 eV per atom

POSCAR file:
```
LaGaSn
1.0
4.6340 0.0000 0.0000
0.0000 4.5132 0.0000
0.0000 -2.2566 3.9085
La Sn Ga
1 1 1
direct
0.0293 0.0000 0.0000
0.5817 0.3333 0.6667
0.3890 0.6667 0.3333
```